1.
Compound: In3BC
Source: Alexandria via LeMat-Bulk
Functional: PBEsol
Structure: relaxed

The calculated formation energy comes out at 1.564 eV/atom. The value obtained for the total energy is -17.79 eV/cell. As for the volume: 95.3 Å³/f.u.

The structure belongs to space group Pm-3m (No. 221); the cell edges are 4.568, 4.568 and 4.568 Å and the angles 90.00°, 90.00° and 90.00°. Symmetry generates all atoms from In at (0.000, 0.000, 0.500), B at (0.000, 0.000, 0.000) and C at (0.500, 0.500, 0.500).

---

2.
Compound: KTiB2C
Source: Alexandria via LeMat-Bulk
Functional: PBEsol
Structure: relaxed

The calculated formation energy comes out at 3.299 eV/atom. The value obtained for the total energy is -16.63 eV/cell. As for the volume: 69.0 Å³/f.u.

The structure belongs to space group P4/mmm (No. 123); the cell edges are 4.114, 4.114 and 4.074 Å and the angles 90.00°, 90.00° and 90.00°. Symmetry generates all atoms from K at (0.000, 0.000, 0.000), Ti at (0.500, 0.500, 0.500), B at (0.000, 0.500, 0.000) and C at (0.000, 0.000, 0.500).

---

3.
Compound: LaNb2BC
Source: Alexandria via LeMat-Bulk
Functional: PBEsol
Structure: relaxed

The calculated formation energy comes out at 0.838 eV/atom. The value obtained for the total energy is -39.46 eV/cell. As for the volume: 72.9 Å³/f.u.

The structure belongs to space group P4/mmm (No. 123); the cell edges are 4.786, 4.786 and 3.180 Å and the angles 90.00°, 90.00° and 90.00°. Symmetry generates all atoms from La at (0.000, 0.000, 0.000), Nb at (0.000, 0.500, 0.500), B at (0.500, 0.500, 0.500) and C at (0.500, 0.500, 0.000).

---

4.
Compound: LaBC2O
Source: Alexandria via LeMat-Bulk
Functional: PBEsol
Structure: relaxed

The value obtained for the total energy is -36.70 eV/cell. The formation energy (no corrections) comes out at 40 meV per atom. As for the volume: 57.6 Å³/f.u.

The structure belongs to space group P4/mmm (No. 123); the cell edges are 3.307, 3.307 and 5.265 Å and the angles 90.00°, 90.00° and 90.00°. Symmetry generates all atoms from La at (0.000, 0.000, 0.000), B at (0.500, 0.500, 0.500), C at (0.000, 0.500, 0.500) and O at (0.500, 0.500, 0.000).

---

5.
Compound: LaB2Pd2C
Source: Alexandria via LeMat-Bulk
Functional: PBEsol
Structure: relaxed

The calculated formation energy comes out at -0.563 eV/atom. The value obtained for the total energy is -88.64 eV/cell. As for the volume: 78.6 Å³/f.u.

The structure belongs to space group I4/mmm (No. 139); the cell edges are 3.903, 3.903 and 10.314 Å and the angles 90.00°, 90.00° and 90.00°. Symmetry generates all atoms from La at (0.000, 0.000, 0.000), B at (0.000, 0.000, 0.356), Pd at (0.000, 0.500, 0.250) and C at (0.000, 0.000, 0.500).

---

6.
Compound: LaB2Pt2C
Source: Alexandria via LeMat-Bulk
Functional: PBEsol
Structure: relaxed

The calculated formation energy comes out at -0.674 eV/atom. The value obtained for the total energy is -93.99 eV/cell. As for the volume: 79.3 Å³/f.u.

The structure belongs to space group I4/mmm (No. 139); the cell edges are 3.848, 3.848 and 10.711 Å and the angles 90.00°, 90.00° and 90.00°. Symmetry generates all atoms from La at (0.000, 0.000, 0.000), B at (0.000, 0.000, 0.361), Pt at (0.000, 0.500, 0.250) and C at (0.000, 0.000, 0.500).

---

7.
Compound: LiB6C
Source: Alexandria via LeMat-Bulk
Functional: PBEsol
Structure: relaxed

The calculated formation energy comes out at -0.265 eV/atom. The value obtained for the total energy is -223.30 eV/cell. As for the volume: 59.1 Å³/f.u.

The structure belongs to space group Amm2 (No. 38); the cell edges are 4.687, 8.963 and 5.630 Å and the angles 90.00°, 90.00° and 90.00°. Symmetry generates all atoms from Li at (0.000, 0.206, 0.000), B at (0.193, 0.098, 0.679), B at (0.316, 0.000, 0.423), B at (0.317, 0.000, 0.937), B at (0.500, 0.169, 0.518), B at (0.500, 0.169, 0.842) and C at (0.147, 0.000, 0.181).

---

8.
Compound: LiBC4N4
Source: Alexandria via LeMat-Bulk
Functional: PBEsol
Structure: relaxed

The value obtained for the total energy is -81.34 eV/cell. The formation energy (no corrections) comes out at 32 meV per atom. As for the volume: 165.9 Å³/f.u.

The structure belongs to space group P-43m (No. 215); the cell edges are 5.495, 5.495 and 5.495 Å and the angles 90.00°, 90.00° and 90.00°. Symmetry generates all atoms from Li at (0.000, 0.000, 0.000), B at (0.500, 0.500, 0.500), C at (0.334, 0.334, 0.334) and N at (0.212, 0.212, 0.212).

---

Question: What is the volume in the second record?
Answer: 69.0 Å³/f.u.